An optimized crystal structure of Sr2Li2Al, computed with PBE.

Summary:
final energy = -2.16 eV per atom
energy above the lowest structure with this stoichiometry = 92 meV per atom
energy of formation from the pure elements = 0.12 eV per formula unit

Lattice parameters (Å, degrees): 3.942 3.942 20.643 90.00 90.00 90.00
Space group I4/mmm (No. 139)
Inequivalent atoms, fractional coordinates:
Sr (0.000, 0.000, 0.096) (multiplicity 4)
Li (0.000, 0.500, 0.250) (multiplicity 4)
Al (0.000, 0.000, 0.500) (multiplicity 2)